VASP calculation (GGA-PBE) on a relaxed structure of TbSmEr2Tm2.

Computed properties:
Its crystal system is orthorhombic. The energy is -4.28 eV per atom. Its formation energy is 0.287 eV/atom.

a = 6.532 Å, b = 17.529 Å, c = 3.371 Å
α = 90.00°, β = 90.00°, γ = 90.00°
Space group Pnnm (No. 58)
Asymmetric unit:
Tb: 0.000 0.000 0.000 [2 per cell]
Sm: 0.000 0.500 0.000 [2 per cell]
Er: 0.232 0.183 0.000 [4 per cell]
Tm: 0.231 0.350 0.500 [4 per cell]